1.
GaSbOs | PBE | relaxed

Summary:
Density, g/cm3: 10.64
Energy, eV per atom: -5.960

Cell lengths 6.1992, 6.1992, 6.1992 Å; angles 90.00, 90.00, 90.00 degrees
Space group F-43m (No. 216)
Unique sites:
Ga (0.0000, 0.0000, 0.0000) (multiplicity 4)
Sb (0.0000, 0.0000, 0.5000) (multiplicity 4)
Os (0.2500, 0.2500, 0.2500) (multiplicity 4)


2.
Hf4FeSiC2 | PBE | relaxed

Summary:
Density, g/cm3: 11.19
Energy, eV per atom: -9.575

Cell lengths 3.2426, 3.2426, 13.3977 Å; angles 90.00, 90.00, 120.00 degrees
Space group P-6m2 (No. 187)
Unique sites:
Hf (0.0000, 0.0000, 0.1467) (multiplicity 2)
Hf (0.6667, 0.3333, 0.3421) (multiplicity 2)
Fe (0.6667, 0.3333, 0.0000) (multiplicity 1)
Si (0.0000, 0.0000, 0.5000) (multiplicity 1)
C (0.3333, 0.6667, 0.2495) (multiplicity 2)


3.
CoAgB2 | PBE | relaxed

Summary:
Density, g/cm3: 7.39
Energy, eV per atom: -4.439

Cell lengths 5.5324, 5.5324, 5.5324 Å; angles 90.00, 90.00, 90.00 degrees
Space group F-43m (No. 216)
Unique sites:
Co (0.0000, 0.0000, 0.0000) (multiplicity 4)
Ag (0.2500, 0.2500, 0.7500) (multiplicity 4)
B (0.0000, 0.0000, 0.5000) (multiplicity 4)
B (0.2500, 0.2500, 0.2500) (multiplicity 4)


4.
SrCoGe2 | PBE | relaxed

Summary:
Density, g/cm3: 6.20
Energy, eV per atom: -4.203

Cell lengths 6.7858, 6.7858, 6.7858 Å; angles 90.00, 90.00, 90.00 degrees
Space group F-43m (No. 216)
Unique sites:
Sr (0.0000, 0.0000, 0.0000) (multiplicity 4)
Co (0.2500, 0.2500, 0.2500) (multiplicity 4)
Ge (0.0000, 0.0000, 0.5000) (multiplicity 4)
Ge (0.2500, 0.2500, 0.7500) (multiplicity 4)


> Which of these has the lowest energy?

Hf4FeSiC2